[1]
# PBE-GGA Ac2Mg3CdHg4, optimized geometry
data_Ac2Mg3CdHg4
_space_group_name_H-M_alt 'P -4 m 2'
_space_group_IT_number 115
_space_group_name_Hall 'P -4 -2'
_cell_length_a 4.878
_cell_length_b 4.878
_cell_length_c 11.306
_cell_angle_alpha 90.00
_cell_angle_beta 90.00
_cell_angle_gamma 90.00
loop_
_atom_site_label
_atom_site_fract_x
_atom_site_fract_y
_atom_site_fract_z
Ac1 0.000 0.500 0.246
Mg1 0.000 0.500 0.878
Mg2 0.500 0.500 0.500
Cd1 0.000 0.000 0.500
Hg1 0.000 0.000 0.000
Hg2 0.000 0.500 0.639
Hg3 0.500 0.500 0.000
# **Energy of formation from the pure elements**: -32 kJ/mol of atoms

=====

[2]
# PBE-GGA MoSe2, optimized geometry
data_MoSe2
_space_group_name_H-M_alt 'C 1 m 1'
_space_group_IT_number 8
_space_group_name_Hall 'C -2y'
_cell_length_a 11.850
_cell_length_b 3.234
_cell_length_c 8.192
_cell_angle_alpha 90.00
_cell_angle_beta 121.93
_cell_angle_gamma 90.00
loop_
_atom_site_label
_atom_site_fract_x
_atom_site_fract_y
_atom_site_fract_z
Mo1 0.000 0.000 0.000
Mo2 0.212 0.500 0.927
Se1 0.025 0.000 0.708
Se2 0.032 0.500 0.252
Se3 0.256 0.000 0.194
Se4 0.308 0.000 0.769
# **Raw formation energy**: -0.424 eV/atom

=====

[3]
# PBE-GGA K2HgGeSe4, optimized geometry
data_K2HgGeSe4
_space_group_name_H-M_alt 'C 1 2/c 1'
_space_group_IT_number 15
_space_group_name_Hall '-C 2yc'
_cell_length_a 11.446
_cell_length_b 12.548
_cell_length_c 7.917
_cell_angle_alpha 90.00
_cell_angle_beta 126.92
_cell_angle_gamma 90.00
loop_
_atom_site_label
_atom_site_fract_x
_atom_site_fract_y
_atom_site_fract_z
K1 0.000 0.000 0.000
K2 0.250 0.250 0.000
Hg1 0.250 0.250 0.500
Ge1 0.000 0.500 0.000
Se1 0.027 0.281 0.505
Se2 0.193 0.498 0.928
# **Raw formation energy**: -0.455 eV/atom

=====

[4]
# PBE-GGA Nd4Sm2DyTh, optimized geometry
data_Nd4Sm2DyTh
_space_group_name_H-M_alt 'P 1 2/m 1'
_space_group_IT_number 10
_space_group_name_Hall '-P 2y'
_cell_length_a 6.089
_cell_length_b 6.098
_cell_length_c 7.318
_cell_angle_alpha 90.00
_cell_angle_beta 90.10
_cell_angle_gamma 90.00
loop_
_atom_site_label
_atom_site_fract_x
_atom_site_fract_y
_atom_site_fract_z
Nd1 0.000 0.000 0.245
Nd2 0.499 0.500 0.246
Sm1 0.000 0.500 0.500
Sm2 0.500 0.000 0.000
Dy1 0.500 0.000 0.500
Th1 0.000 0.500 0.000
# **Energy of formation from the pure elements**: 13 kJ/mol of atoms

=====

[5]
# PBE-GGA KZr2Ru, optimized geometry
data_KZr2Ru
_space_group_name_H-M_alt 'F m -3 m'
_space_group_IT_number 225
_space_group_name_Hall '-F 4 2 3'
_cell_length_a 6.955
_cell_length_b 6.955
_cell_length_c 6.955
_cell_angle_alpha 90.00
_cell_angle_beta 90.00
_cell_angle_gamma 90.00
loop_
_atom_site_label
_atom_site_fract_x
_atom_site_fract_y
_atom_site_fract_z
K1 0.000 0.000 0.000
Zr1 0.250 0.250 0.250
Ru1 0.000 0.000 0.500
# **Energy of formation from the pure elements**: 62 kJ/mol of atoms

=====

[6]
# PBE-GGA Na6PbBr8, optimized geometry
data_Na6PbBr8
_space_group_name_H-M_alt 'F m -3 m'
_space_group_IT_number 225
_space_group_name_Hall '-F 4 2 3'
_cell_length_a 12.166
_cell_length_b 12.166
_cell_length_c 12.166
_cell_angle_alpha 90.00
_cell_angle_beta 90.00
_cell_angle_gamma 90.00
loop_
_atom_site_label
_atom_site_fract_x
_atom_site_fract_y
_atom_site_fract_z
Na1 0.000 0.250 0.250
Pb1 0.000 0.000 0.000
Br1 0.000 0.000 0.250
Br2 0.250 0.250 0.250
# **Raw formation energy**: -1.429 eV/atom

=====

Size of the total moment for the records above, in order: 0.00, 0.00, 0.00, 0.00, 0.00, 0.00 μB per formula unit